## Tb2Si2BOs2 (GGA-PBE)

Data for a relaxed Tb2Si2BOs2 crystal.

total energy: -54.64 eV per cell
calculated volume: 17.55 Å³ per atom
formation energy (no corrections): -771 meV per atom
D(E_F): 3.02 states/eV/cell
space-group type: C2/m, No. 12

Lattice parameters (Å, degrees): 4.1602 5.9336 5.8080 72.58 69.01 69.48
Atoms (fractional coordinates):
Os  0.2134  0.6818  0.8913
B  0.0000  0.0000  0.0000
Tb  0.5666  0.1684  0.6983
Si  0.8474  0.6005  0.7046
Si  0.1526  0.3995  0.2954
Os  0.7866  0.3182  0.1087
Tb  0.4334  0.8316  0.3017